# CaZr2In, optimized geometry, DFT PBE
data_CaZr2In
_symmetry_space_group_name_H-M 'P 4 m m'
_symmetry_Int_Tables_number 99
_cell_length_a 3.241
_cell_length_b 3.241
_cell_length_c 9.806
_cell_angle_alpha 90.00
_cell_angle_beta 90.00
_cell_angle_gamma 90.00
loop_
_symmetry_equiv_pos_as_xyz
'x,y,z'
'-y,x,z'
'-x,-y,z'
'y,-x,z'
'-x,y,z'
'y,x,z'
'x,-y,z'
'-y,-x,z'
loop_
_atom_site_label
_atom_site_type_symbol
_atom_site_fract_x
_atom_site_fract_y
_atom_site_fract_z
Ca1 Ca 0.000 0.000 0.000
Zr1 Zr 0.000 0.000 0.485
Zr2 Zr 0.500 0.500 0.702
In1 In 0.500 0.500 0.248
# Calculated volume ... 25.75 Å³ per atom
# Calculated total energy ... -5.568 eV/atom
# E_form ... -0.1088 eV per atom